1.
ZrHg2Mo | the Alexandria database | PBE-GGA | relaxed; crystal system = monoclinic; DFT formation energy = 25 kJ/mol of atoms; SG = No. 6
1.0
-2.846 2.144 3.331
-0.591 -2.686 1.224
4.201 0.361 3.357
Hg Mo Zr
2 1 1
Direct
0.000 0.122 0.975 Hg
0.500 0.142 0.278 Hg
0.000 0.554 0.483 Mo
0.500 0.682 0.764 Zr

***

2.
ZrHg2Mo | the Alexandria database | PBE-GGA | relaxed; crystal system = trigonal; DFT formation energy = 35 kJ/mol of atoms; SG = No. 166
1.0
10.179 -0.001 -0.001
9.727 3.001 -0.001
9.727 1.466 2.619
Hg Mo Zr
2 1 1
Direct
0.996 0.996 0.996 Hg
0.504 0.504 0.504 Hg
0.250 0.250 0.250 Mo
0.750 0.750 0.750 Zr

***

3.
Zr2HgMo | the Alexandria database | PBE-GGA | relaxed; crystal system = monoclinic; DFT formation energy = 18 kJ/mol of atoms; SG = No. 12
1.0
-2.331 -1.446 4.309
0.645 -1.620 4.801
-0.087 5.064 2.320
Hg Mo Zr
1 1 2
Direct
0.750 0.750 0.750 Hg
0.250 0.250 0.250 Mo
0.007 0.007 0.012 Zr
0.493 0.493 0.488 Zr

***

4.
ZrHg2Mo | the Alexandria database | PBE-GGA | relaxed; crystal system = orthorhombic; DFT formation energy = 19 kJ/mol of atoms; SG = No. 35
1.0
3.014 0.021 0.000
-0.901 2.877 0.000
0.000 0.000 9.468
Hg Mo Zr
2 1 1
Direct
0.000 0.000 0.994 Hg
0.500 0.500 0.267 Hg
0.000 0.000 0.508 Mo
0.500 0.500 0.731 Zr

***

5.
ZrHg2Mo | the Alexandria database | PBE-GGA | relaxed; crystal system = tetragonal; DFT formation energy = 53 kJ/mol of atoms; SG = No. 122
1.0
4.052 0.000 0.000
0.000 4.052 0.000
2.026 2.026 10.560
Mo Hg Zr
2 4 2
Direct
0.000 0.000 0.000 Mo
0.750 0.250 0.500 Mo
0.635 0.125 0.250 Hg
0.115 0.625 0.250 Hg
0.375 0.365 0.750 Hg
0.875 0.885 0.750 Hg
0.500 0.500 0.000 Zr
0.250 0.750 0.500 Zr

***

6.
Zr2HgMo | the Alexandria database | PBE-GGA | relaxed; crystal system = tetragonal; DFT formation energy = -15 kJ/mol of atoms; SG = No. 123
1.0
3.445 0.000 0.000
0.000 3.445 0.000
0.000 0.000 6.888
Mo Hg Zr
1 1 2
Direct
0.500 0.500 0.750 Mo
0.500 0.500 0.250 Hg
0.000 0.000 0.974 Zr
0.000 0.000 0.526 Zr

***

7.
ZrHgMo | the Alexandria database | PBE-GGA | relaxed; crystal system = trigonal; DFT formation energy = 28 kJ/mol of atoms; SG = No. 156
1.0
4.983 0.000 0.000
-2.491 4.315 0.000
0.000 0.000 2.720
Hg Mo Zr
1 1 1
Direct
0.000 0.000 0.072 Hg
0.667 0.333 0.275 Mo
0.333 0.667 0.653 Zr

***

8.
Zr3HgMo | the Alexandria database | PBE-GGA | relaxed; crystal system = cubic; DFT formation energy = 152 kJ/mol of atoms; SG = No. 221
1.0
-3.239 3.033 -2.638
-2.052 -4.161 -2.265
-3.457 -0.372 3.816
Mo Hg Zr
1 1 3
Direct
0.500 0.500 0.500 Mo
0.000 0.000 0.000 Hg
0.000 0.500 0.000 Zr
0.000 0.000 0.500 Zr
0.500 0.000 0.000 Zr

***

Record order is preserved below.
Size of the total moment: 0.0, 0.0, 0.0, 0.0, 0.0, 0.0, 0.0, 0.0 Bohr magnetons per cell
Record order is preserved below.
VASP energy: -4.738, -4.635, -6.866, -4.797, -4.451, -7.211, -6.268, -5.778 eV per atom